(1)
# PBE-GGA AsPW4, relaxed
data_AsPW4
_cell_length_a 7.4836
_cell_length_b 7.4836
_cell_length_c 7.4836
_cell_angle_alpha 90.00
_cell_angle_beta 90.00
_cell_angle_gamma 90.00
_space_group_name_H-M_alt 'F -4 3 m'
_space_group_IT_number 216
_space_group_name_Hall 'F -4 2 3'
loop_
_atom_site_label
_atom_site_type_symbol
_atom_site_fract_x
_atom_site_fract_y
_atom_site_fract_z
As1 As 0.0000 0.0000 0.0000
P1 P 0.2500 0.2500 0.2500
W1 W 0.1247 0.1247 0.6247
# Total moment = 0.000 μB/f.u.
# V = 17.5 A^3/atom
# Fermi-level density of states = 5.51 states/eV/f.u.
# Formation energy from the elements = 92 kJ per mole of atoms


(2)
# PBE-GGA As3PW, relaxed
data_As3PW
_cell_length_a 4.5803
_cell_length_b 4.5803
_cell_length_c 4.5803
_cell_angle_alpha 90.00
_cell_angle_beta 90.00
_cell_angle_gamma 90.00
_space_group_name_H-M_alt 'P m -3 m'
_space_group_IT_number 221
_space_group_name_Hall '-P 4 2 3'
loop_
_atom_site_label
_atom_site_type_symbol
_atom_site_fract_x
_atom_site_fract_y
_atom_site_fract_z
As1 As 0.0000 0.0000 0.5000
P1 P 0.0000 0.0000 0.0000
W1 W 0.5000 0.5000 0.5000
# Total moment = 0.000 μB/f.u.
# Distance to the lowest polymorph of the same formula = 464 meV/atom
# V = 19.2 A^3/atom
# Fermi-level density of states = 8.26 states/eV/f.u.
# Formation energy from the elements = 129 kJ per mole of atoms


Q: Look up the V of the first one.
A: 17.5 A^3/atom